No. 1
Material: V3TcAu
Method: DFT, PBE
State: relaxed

a = 4.5093 Å, b = 4.5093 Å, c = 4.5093 Å
α = 90.00°, β = 90.00°, γ = 90.00°
With the nearest neighbours (Å) after each atom.
Element x y z (fractional)
V 0.0000 0.0000 0.5000  2 Tc 2.25
V 0.0000 0.5000 0.0000  2 Tc 2.25
V 0.5000 0.0000 0.0000  2 Tc 2.25
Tc 0.0000 0.0000 0.0000  6 V 2.25
Au 0.5000 0.5000 0.5000  12 V 3.19

## Properties
**Energy of formation**: 1.00 eV per atom
**Total magnetic moment**: 0.000 μB per cell
**Excess energy over the best structure of this formula in the dataset**: 0.0 kJ per mole of atoms

No. 2
Material: VTcAu
Method: DFT, PBE
State: relaxed

a = 10.6982 Å, b = 10.6982 Å, c = 10.6982 Å
α = 163.51°, β = 163.51°, γ = 23.41°
With the nearest neighbours (Å) after each atom.
Element x y z (fractional)
V 0.1475 0.1475 0.0000  4 Tc 2.51, 4 Au 2.79
V 0.8525 0.8525 0.0000  4 Tc 2.51, 4 Au 2.79
Tc 0.2926 0.2926 0.0000  4 V 2.51
Tc 0.7074 0.7074 0.0000  4 V 2.51
Au 0.4362 0.4362 0.0000  1 Au 2.67, 4 V 2.79
Au 0.5638 0.5638 0.0000  1 Au 2.67, 4 V 2.79

## Properties
**Energy of formation**: 0.03 eV per atom
**Total magnetic moment**: 0.368 μB per cell
**Excess energy over the best structure of this formula in the dataset**: 0.0 kJ per mole of atoms

No. 3
Material: VTc3Au
Method: DFT, PBE
State: relaxed

a = 4.4448 Å, b = 4.4448 Å, c = 4.4448 Å
α = 90.00°, β = 90.00°, γ = 90.00°
With the nearest neighbours (Å) after each atom.
Element x y z (fractional)
V 0.0000 0.0000 0.0000  6 Tc 2.22
Tc 0.0000 0.0000 0.5000  2 V 2.22
Tc 0.0000 0.5000 0.0000  2 V 2.22
Tc 0.5000 0.0000 0.0000  2 V 2.22
Au 0.5000 0.5000 0.5000  12 Tc 3.14

## Properties
**Energy of formation**: 1.20 eV per atom
**Total magnetic moment**: 0.346 μB per cell
**Excess energy over the best structure of this formula in the dataset**: 0.0 kJ per mole of atoms

No. 4
Material: VTc2Au
Method: DFT, PBE
State: relaxed

a = 3.8741 Å, b = 3.8741 Å, c = 3.9581 Å
α = 90.00°, β = 90.00°, γ = 90.00°
With the nearest neighbours (Å) after each atom.
Element x y z (fractional)
V 0.0000 0.0000 0.0000  4 Au 2.74, 8 Tc 2.77
Tc 0.0000 0.5000 0.5000  4 Tc 2.74, 4 V 2.77, 4 Au 2.77
Tc 0.5000 0.0000 0.5000  4 Tc 2.74, 4 V 2.77, 4 Au 2.77
Au 0.5000 0.5000 0.0000  4 V 2.74, 8 Tc 2.77

## Properties
**Energy of formation**: 0.05 eV per atom
**Total magnetic moment**: 0.000 μB per cell
**Excess energy over the best structure of this formula in the dataset**: 0.0 kJ per mole of atoms

No. 5
Material: V12TcAu3
Method: DFT, PBE
State: relaxed

a = 4.8601 Å, b = 4.8653 Å, c = 9.6925 Å
α = 90.00°, β = 90.00°, γ = 90.00°
With the nearest neighbours (Å) after each atom.
Element x y z (fractional)
V 0.0000 0.0000 0.1219  2 V 2.36-2.46
V 0.0000 0.0000 0.3758  2 V 2.41-2.46
V 0.0000 0.0000 0.6242  2 V 2.41-2.46
V 0.0000 0.0000 0.8781  2 V 2.36-2.46
V 0.2452 0.5000 0.2431  2 V 2.38-2.48, 1 Tc 2.64
V 0.2452 0.5000 0.7569  2 V 2.38-2.48, 1 Tc 2.64
V 0.5000 0.2479 0.5000  2 V 2.41-2.45
V 0.5000 0.2563 0.0000  2 V 2.37-2.49
V 0.5000 0.7437 0.0000  2 V 2.37-2.49
V 0.5000 0.7521 0.5000  2 V 2.41-2.45
V 0.7548 0.5000 0.2431  2 V 2.38-2.48, 1 Tc 2.64
V 0.7548 0.5000 0.7569  2 V 2.38-2.48, 1 Tc 2.64
Tc 0.0000 0.5000 0.0000  12 V 2.64-2.70
Au 0.0000 0.5000 0.5000  12 V 2.71-2.76
Au 0.5000 0.0000 0.2498  12 V 2.71-2.73
Au 0.5000 0.0000 0.7502  12 V 2.71-2.73

## Properties
**Energy of formation**: -0.08 eV per atom
**Total magnetic moment**: 0.445 μB per cell

No. 6
Material: VTc2Au
Method: DFT, PBE
State: relaxed

a = 4.4097 Å, b = 4.4097 Å, c = 4.4097 Å
α = 60.00°, β = 60.00°, γ = 60.00°
With the nearest neighbours (Å) after each atom.
Element x y z (fractional)
V 0.0000 0.0000 0.0000  8 Tc 2.70
Tc 0.2500 0.2500 0.2500  4 Au 2.70, 4 V 2.70
Tc 0.7500 0.7500 0.7500  4 V 2.70, 4 Au 2.70
Au 0.5000 0.5000 0.5000  8 Tc 2.70

## Properties
**Energy of formation**: 0.29 eV per atom
**Total magnetic moment**: 0.000 μB per cell
**Excess energy over the best structure of this formula in the dataset**: 23.8 kJ per mole of atoms

No. 7
Material: VTc2Au
Method: DFT, PBE
State: relaxed

a = 9.5766 Å, b = 9.5766 Å, c = 9.5766 Å
α = 156.98°, β = 156.98°, γ = 32.78°
With the nearest neighbours (Å) after each atom.
Element x y z (fractional)
V 0.0000 0.0000 0.0000  4 Tc 2.60, 4 Au 2.70
V 0.7500 0.2500 0.5000  4 Tc 2.60, 4 Au 2.70
Tc 0.0702 0.6250 0.9452  2 Tc 2.42, 2 V 2.60
Tc 0.3750 0.3202 0.4452  2 Tc 2.42, 2 V 2.60
Tc 0.6798 0.1250 0.0548  2 Tc 2.42, 2 V 2.60
Tc 0.8750 0.9298 0.5548  2 Tc 2.42, 2 V 2.60
Au 0.2500 0.7500 0.5000  4 V 2.70, 4 Tc 2.75
Au 0.5000 0.5000 0.0000  4 V 2.70, 4 Tc 2.75

## Properties
**Energy of formation**: 0.59 eV per atom
**Total magnetic moment**: 2.053 μB per cell
**Excess energy over the best structure of this formula in the dataset**: 52.4 kJ per mole of atoms

No. 8
Material: VTc2WAu
Method: DFT, PBE
State: relaxed

a = 4.7995 Å, b = 4.7995 Å, c = 4.7825 Å
α = 90.00°, β = 90.00°, γ = 90.00°
With the nearest neighbours (Å) after each atom.
Element x y z (fractional)
V 0.0000 0.0000 0.0000  8 Tc 3.39, 4 W 3.39
Tc 0.0000 0.5000 0.5000  2 Au 2.40
Tc 0.5000 0.0000 0.5000  2 Au 2.40
W 0.5000 0.5000 0.0000  2 Au 2.39
Au 0.5000 0.5000 0.5000  2 W 2.39, 4 Tc 2.40

## Properties
**Energy of formation**: 2.68 eV per atom
**Total magnetic moment**: 2.488 μB per cell

No. 9
Material: Tc2WAu
Method: DFT, PBE
State: relaxed

a = 2.7719 Å, b = 2.7719 Å, c = 8.1992 Å
α = 90.00°, β = 90.00°, γ = 90.00°
With the nearest neighbours (Å) after each atom.
Element x y z (fractional)
Tc 0.0000 0.0000 0.0000  8 Tc 2.65-2.77, 4 Au 2.96
Tc 0.5000 0.5000 0.2176  8 Tc 2.65-2.77, 4 W 2.81
W 0.0000 0.0000 0.4630  4 W 2.77, 4 Tc 2.81, 4 Au 2.94
Au 0.5000 0.5000 0.7295  4 Au 2.77, 4 W 2.94, 4 Tc 2.96

## Properties
**Energy of formation**: 0.22 eV per atom
**Total magnetic moment**: 0.000 μB per cell
**Excess energy over the best structure of this formula in the dataset**: 3.5 kJ per mole of atoms

No. 10
Material: Tc2WAu
Method: DFT, PBE
State: relaxed

a = 4.8604 Å, b = 4.8604 Å, c = 4.8604 Å
α = 132.11°, β = 132.11°, γ = 70.06°
With the nearest neighbours (Å) after each atom.
Element x y z (fractional)
Tc 0.0000 0.0000 0.0000  4 Au 2.79, 4 W 2.80, 4 Tc 2.80
Tc 0.7500 0.2500 0.5000  4 W 2.79, 4 Tc 2.80, 4 Au 2.80
W 0.2500 0.7500 0.5000  8 Tc 2.79-2.80, 4 Au 2.80
Au 0.5000 0.5000 0.0000  8 Tc 2.79-2.80, 4 W 2.80

## Properties
**Energy of formation**: 0.22 eV per atom
**Total magnetic moment**: 0.000 μB per cell
**Excess energy over the best structure of this formula in the dataset**: 3.4 kJ per mole of atoms

No. 11
Material: Tc2WAu
Method: DFT, PBE
State: relaxed

a = 4.8856 Å, b = 4.8856 Å, c = 4.7728 Å
α = 100.85°, β = 100.85°, γ = 34.25°
With the nearest neighbours (Å) after each atom.
Element x y z (fractional)
Tc 0.0000 0.0000 0.0000  4 W 2.63-2.95, 5 Tc 2.69-2.88, 3 Au 2.86-2.88
Tc 0.7409 0.7409 0.2124  5 Tc 2.69-2.88, 4 Au 2.76-2.81, 3 W 2.78-2.83
W 0.4888 0.4888 0.4574  7 Tc 2.63-2.95, 3 Au 2.81-2.86, 2 W 2.88
Au 0.2443 0.2443 0.7206  7 Tc 2.76-2.88, 3 W 2.81-2.86, 2 Au 2.88

## Properties
**Energy of formation**: 0.26 eV per atom
**Total magnetic moment**: 0.000 μB per cell
**Excess energy over the best structure of this formula in the dataset**: 7.5 kJ per mole of atoms

No. 12
Material: Tc2WAu
Method: DFT, PBE
State: relaxed

a = 2.7925 Å, b = 2.7925 Å, c = 8.1436 Å
α = 90.00°, β = 90.00°, γ = 90.00°
With the nearest neighbours (Å) after each atom.
Element x y z (fractional)
Tc 0.0000 0.0000 0.2346  4 W 2.75, 4 Tc 2.79, 4 Au 2.93
Tc 0.0000 0.0000 0.7654  4 W 2.75, 4 Tc 2.79, 4 Au 2.93
W 0.5000 0.5000 0.0000  8 Tc 2.75, 4 W 2.79
Au 0.5000 0.5000 0.5000  4 Au 2.79, 8 Tc 2.93

## Properties
**Energy of formation**: 0.28 eV per atom
**Total magnetic moment**: 0.000 μB per cell
**Excess energy over the best structure of this formula in the dataset**: 9.1 kJ per mole of atoms

Number 1: mass density 8.1 g/cm³, DOS at the Fermi energy 1.2099 states/eV/atom. Number 2: mass density 11.6 g/cm³, DOS at the Fermi energy 0.9385 states/eV/atom. Number 3: mass density 10.2 g/cm³, DOS at the Fermi energy 1.3253 states/eV/atom. Number 4: mass density 12.4 g/cm³, DOS at the Fermi energy 0.9724 states/eV/atom. Number 5: mass density 9.4 g/cm³, DOS at the Fermi energy 1.4444 states/eV/atom. Number 6: mass density 12.2 g/cm³, DOS at the Fermi energy 1.5536 states/eV/atom. Number 7: mass density 11.0 g/cm³, DOS at the Fermi energy 1.2549 states/eV/atom. Number 8: mass density 9.5 g/cm³, DOS at the Fermi energy 2.1304 states/eV/atom. Number 9: mass density 15.2 g/cm³, DOS at the Fermi energy 0.8185 states/eV/atom. Number 10: mass density 15.5 g/cm³, DOS at the Fermi energy 0.6334 states/eV/atom. Number 11: mass density 15.2 g/cm³, DOS at the Fermi energy 0.9364 states/eV/atom. Number 12: mass density 15.1 g/cm³, DOS at the Fermi energy 1.1559 states/eV/atom.